# 1
Density functional theory data (PBE-GGA) for Na2BiHCl6 after structural relaxation.

Output
raw total energy = -3.24 eV/atom
N(E_F) = 0.0 states/eV/cell

a = 6.932 Å, b = 5.798 Å, c = 14.622 Å
α = 90.00°, β = 118.26°, γ = 90.00°
Fractional coordinates of all 20 atoms:
1 Na 0.189 0.001 0.189
2 Na 0.189 0.499 0.689
3 Na 0.811 0.501 0.311
4 Na 0.811 0.999 0.811
5 Bi 0.500 0.000 0.000
6 Bi 0.500 0.500 0.500
7 H 0.000 0.000 0.500
8 H 0.000 0.500 0.000
9 Cl 0.128 0.227 0.500
10 Cl 0.128 0.273 0.000
11 Cl 0.179 0.743 0.348
12 Cl 0.179 0.757 0.848
13 Cl 0.481 0.743 0.651
14 Cl 0.481 0.757 0.151
15 Cl 0.519 0.243 0.849
16 Cl 0.519 0.257 0.349
17 Cl 0.821 0.243 0.152
18 Cl 0.821 0.257 0.652
19 Cl 0.872 0.727 0.000
20 Cl 0.872 0.773 0.500


# 2
Density functional theory data (PBE-GGA) for Sm6AsPb3Se2 after structural relaxation.

Output
formation energy (no corrections) = -1.1088 eV per atom
N(E_F) = 4.9 states/eV/cell

a = 9.902 Å, b = 9.902 Å, c = 8.927 Å
α = 107.05°, β = 107.05°, γ = 24.83°
Fractional coordinates of all 12 atoms:
1 Sm 0.004 0.004 0.233
2 Sm 0.329 0.329 0.427
3 Sm 0.340 0.340 0.908
4 Sm 0.660 0.660 0.092
5 Sm 0.671 0.671 0.573
6 Sm 0.996 0.996 0.767
7 As 0.500 0.500 0.000
8 Pb 0.168 0.168 0.833
9 Pb 0.500 0.500 0.500
10 Pb 0.832 0.832 0.167
11 Se 0.167 0.167 0.334
12 Se 0.833 0.833 0.666


Q: What is the formula in the second record?
A: Sm6AsPb3Se2